# TbPu2Si2Au2

A relaxed TbPu2Si2Au2 crystal (PBE, the Alexandria database).

The energy comes out at -53.2 eV per cell. The uncorrected formation energy comes out at -0.360 eV/atom. The calculation puts the volume at 136 Å³ per cell. The calculation puts the total magnetization at 0.95 μB per formula unit. The density of states at the Fermi level comes out at 1.3548 states/eV per atom. Its space group is R-3m, No. 166.

Cell: 4.0784 4.0784 9.7051 Å, 77.87 77.87 60.00°
Element x y z (fractional)
Pu  0.1513  0.1513  0.5460
Pu  0.8487  0.8487  0.4540
Si  0.2497  0.2497  0.2510
Si  0.7503  0.7503  0.7490
Tb  0.0000  0.0000  0.0000
Au  0.4011  0.4011  0.7967
Au  0.5989  0.5989  0.2033